A plane-wave DFT calculation with GGA+U was carried out for a geometry-optimized Pm2MoIO8 structure.

Results
Space group: P-1
E_tot (eV/cell): -81.3
M_tot (μB per formula unit): 0.224

a b c (Å): 4.668 5.139 7.269
angles (deg): 93.85 90.52 93.98
Element x y z (fractional)
Pm (0.084, 0.017, 0.264)
Pm (0.916, 0.983, 0.736)
Mo (0.500, 0.500, 0.500)
I (0.500, 0.500, 0.000)
O (0.169, 0.272, 0.540)
O (0.200, 0.197, 0.981)
O (0.325, 0.620, 0.261)
O (0.369, 0.778, 0.661)
O (0.631, 0.222, 0.339)
O (0.675, 0.380, 0.739)
O (0.800, 0.803, 0.019)
O (0.831, 0.728, 0.460)